SCAN LaCr2Sb, PBEsol geometry; symmetry = P4/mmm (123); formation energy from raw total energies = 123 meV per atom; total magnetic moment = 1.453 μB/atom; density of states at the Fermi level = 0.72 states/eV per atom
1.0
-0.3811 3.2821 1.8164
-0.1011 -2.1928 3.9409
4.4868 0.3496 0.3096
Cr La Sb
2 1 1
Direct
0.0000 0.0000 0.5000
0.0000 0.5000 0.0000
0.5000 0.5000 0.5000
0.5000 0.0000 0.0000

---

SCAN La2CrSb, PBEsol geometry; symmetry = I-4m2 (119); formation energy from raw total energies = -427 meV per atom; total magnetic moment = 1.051 μB/atom; density of states at the Fermi level = 0.75 states/eV per atom
1.0
4.5506 0.0000 0.0000
0.0000 4.5506 0.0000
-2.2753 -2.2753 5.0605
Cr La Sb
1 2 1
Direct
0.2500 0.7500 0.5000
0.0000 0.0000 0.0000
0.7500 0.2500 0.5000
0.5000 0.5000 0.0000

---

SCAN La2CrSb, PBEsol geometry; symmetry = R-3m (166); formation energy from raw total energies = -309 meV per atom; total magnetic moment = 0.852 μB/atom; density of states at the Fermi level = 0.64 states/eV per atom
1.0
-1.3901 0.1337 4.0626
-0.4125 -3.6363 2.2498
6.6985 -0.4645 4.5787
Cr La Sb
1 2 1
Direct
0.0000 0.0000 0.0000
0.2510 0.2510 0.2471
0.7490 0.7490 0.7529
0.5000 0.5000 0.5000

---

SCAN LaCr2Si, PBEsol geometry; symmetry = Pm (6); formation energy from raw total energies = -56 meV per atom; total magnetic moment = 0.114 μB/atom; density of states at the Fermi level = 0.44 states/eV per atom
1.0
-0.5933 1.5026 -2.6885
-3.3622 -1.8153 -0.2726
-2.5364 4.1004 3.9787
Cr La Si
2 1 1
Direct
0.1679 0.0000 0.0534
0.7018 0.5000 0.1048
0.5233 0.0000 0.5368
0.1070 0.5000 0.8049

---

SCAN LaCr2Si, PBEsol geometry; symmetry = F-43m (216); formation energy from raw total energies = 21 meV per atom; total magnetic moment = 0.238 μB/atom; density of states at the Fermi level = 0.28 states/eV per atom
1.0
-3.9108 2.6719 -0.3200
-3.9922 -1.8406 -1.7919
-3.7021 -0.8609 2.8441
Cr La Si
2 1 1
Direct
0.0000 0.0000 0.0000
0.7500 0.7500 0.7500
0.5000 0.5000 0.5000
0.2500 0.2500 0.2500

---

SCAN LaCrSi2, PBEsol geometry; symmetry = P4/mmm (123); formation energy from raw total energies = -191 meV per atom; total magnetic moment = 0.268 μB/atom; density of states at the Fermi level = 0.54 states/eV per atom
1.0
3.1031 0.0000 0.0000
0.0000 3.1031 0.0000
0.0000 0.0000 6.8540
Cr La Si
1 1 2
Direct
0.5000 0.5000 0.0000
0.5000 0.5000 0.5000
0.0000 0.0000 0.8231
0.0000 0.0000 0.1769

---

SCAN SrLa2Cr, PBEsol geometry; symmetry = Imm2 (44); total magnetic moment = 0.775 μB/atom; relative energy among the computed polymorphs = 37.7 meV/atom; density of states at the Fermi level = 1.08 states/eV per atom; energy relative to the elements = 0.264 eV per atom
1.0
3.8585 0.0000 0.0000
0.0000 5.6408 0.0000
-1.9292 -2.8204 5.8807
Cr La Sr
1 2 1
Direct
0.2618 0.7618 0.5237
0.9515 0.9515 0.9030
0.7474 0.2474 0.4948
0.5392 0.5392 0.0785

---

SCAN SrLaCr, PBEsol geometry; symmetry = F-43m (216); total magnetic moment = 1.478 μB/atom; density of states at the Fermi level = 1.42 states/eV per atom; energy relative to the elements = 0.912 eV per atom
1.0
5.1699 0.0000 0.0000
2.5849 4.4772 0.0000
2.5849 1.4924 4.2212
Cr La Sr
1 1 1
Direct
0.5000 0.5000 0.5000
0.2500 0.2500 0.2500
0.0000 0.0000 0.0000